This record from Alexandria describes a geometry-optimized Mn3FeSi structure. The functional is PBE-GGA.

Cell: 4.1362 4.1362 4.1362 Å, 90.00 90.00 90.00°
Element x y z (fractional)
Fe: 0.5000 0.5000 0.5000
Mn: 0.0000 0.0000 0.5000
Mn: 0.0000 0.5000 0.0000
Mn: 0.5000 0.0000 0.0000
Si: 0.0000 0.0000 0.0000

Output
Formation energy (no corrections) = 1.031 eV/atom
D(E_F) = 0.763 states/eV per atom
DFT total energy = -7.25 eV/atom
Symmetry = Pm-3m



This record from Alexandria describes a geometry-optimized LiPr2NdHg4 structure. The functional is PBE-GGA.

Cell: 5.2916 5.2916 9.3971 Å, 73.65 73.65 60.00°
Element x y z (fractional)
Hg: 0.8738 0.8738 0.3786
Hg: 0.3773 0.3773 0.8681
Hg: 0.6227 0.6227 0.1319
Hg: 0.1262 0.1262 0.6214
Pr: 0.2442 0.2442 0.2673
Pr: 0.7558 0.7558 0.7327
Nd: 0.0000 0.0000 0.0000
Li: 0.5000 0.5000 0.5000

Output
D(E_F) = 0.967 states/eV per atom
E_form = -0.444 eV per atom
DFT total energy = -2.63 eV/atom
Symmetry = R-3m



This record from Alexandria describes a geometry-optimized Er2ScGa3 structure. The functional is PBE-GGA.

Cell: 3.4076 5.7965 7.8920 Å, 111.55 102.47 90.00°
Element x y z (fractional)
Er: 0.6703 0.1703 0.3406
Er: 0.3297 0.8297 0.6594
Ga: 0.0000 0.0000 0.0000
Ga: 0.6585 0.6585 0.3171
Ga: 0.3415 0.3415 0.6829
Sc: 0.0000 0.5000 0.0000

Output
D(E_F) = 1.005 states/eV per atom
E_form = -0.336 eV per atom
DFT total energy = -4.43 eV/atom
ΔE to the lowest computed polymorph = 235 meV per atom
Symmetry = Immm



This record from Alexandria describes a geometry-optimized SmTmGa5Pt2 structure. The functional is PBE-GGA.

Cell: 4.6655 4.6655 9.6043 Å, 90.00 90.00 90.00°
Element x y z (fractional)
Ga: 0.5000 0.5000 0.5000
Ga: 0.5000 0.0000 0.1884
Ga: 0.0000 0.5000 0.8116
Ga: 0.0000 0.5000 0.1884
Ga: 0.5000 0.0000 0.8116
Pt: 0.5000 0.5000 0.2601
Pt: 0.5000 0.5000 0.7399
Sm: 0.0000 0.0000 0.5000
Tm: 0.0000 0.0000 0.0000

Output
D(E_F) = 0.550 states/eV per atom
E_form = -0.347 eV per atom
DFT total energy = -4.39 eV/atom
Symmetry = P4/mmm